# GaFe2Pt8 PBE optimized geometry
data_GaFe2Pt8
_chemical_formula_sum 'Ga2 Fe4 Pt16'
_cell_length_a 14.0104
_cell_length_b 3.9655
_cell_length_c 6.1821
_cell_angle_alpha 90.00
_cell_angle_beta 105.02
_cell_angle_gamma 90.00
_symmetry_space_group_name_H-M 'C 1 2/m 1'
_symmetry_Int_Tables_number 12
loop_
_symmetry_equiv_pos_as_xyz
'x,y,z'
'-x,-y,-z'
'-x,y,-z'
'x,-y,z'
'x+1/2,y+1/2,z'
'-x+1/2,-y+1/2,-z'
'-x+1/2,y+1/2,-z'
'x+1/2,-y+1/2,z'
loop_
_atom_site_label
_atom_site_fract_x
_atom_site_fract_y
_atom_site_fract_z
Ga1 0.0000 0.0000 0.0000
Fe1 0.2248 0.5000 0.6450
Pt1 0.0453 0.5000 0.7320
Pt2 0.0976 0.0000 0.4581
Pt3 0.1457 0.5000 0.2031
Pt4 0.1802 0.0000 0.9189
# - Magnetic moment: 7.847 μB/f.u.
# - Energy relative to the elements: -2.85 eV/f.u.
# - Raw total energy: -0.4753 Ry per atom
# - Density: 17440 kg/m3
# - DOS(E_F): 9.401 states/eV/f.u.